VASP calculation (PBEsol) on a relaxed structure of LaTl2Sb.

Unit cell a=4.7324 b=4.7369 c=9.8475 alpha=90.00 beta=90.00 gamma=90.00
Last column: nearest neighbours and their distance in Å.
Sites, in units of the cell vectors:
La 0.0000 0.0000 0.0000  8 Tl 3.35-3.42, 4 Sb 3.41-3.42
La 0.5000 0.5000 0.5000  8 Tl 3.35-3.42, 4 Sb 3.41-3.42
Tl 0.0000 0.0000 0.4990  4 La 3.35, 4 Sb 3.41-3.42, 4 Tl 3.41-3.42
Tl 0.0000 0.5000 0.2496  4 Sb 3.35, 4 Tl 3.41-3.42, 4 La 3.41-3.42
Tl 0.5000 0.0000 0.7496  4 Sb 3.35, 4 Tl 3.41-3.42, 4 La 3.41-3.42
Tl 0.5000 0.5000 0.9990  4 La 3.35, 4 Sb 3.41-3.42, 4 Tl 3.41-3.42
Sb 0.0000 0.5000 0.7499  8 Tl 3.35-3.42, 4 La 3.41-3.42
Sb 0.5000 0.0000 0.2499  8 Tl 3.35-3.42, 4 La 3.41-3.42

Calculated values
Formation energy from raw total energies in eV/atom: -0.5235
Energy above the lowest structure with this stoichiometry in meV/atom: 0
Fermi-level density of states in states/eV per cell: 2.8
E in eV per cell: -34.516
Symmetry: Imm2 (44)

---

VASP calculation (PBEsol) on a relaxed structure of La2TlSb.

Unit cell a=5.1376 b=5.1376 c=4.3878 alpha=90.00 beta=90.00 gamma=90.00
Last column: nearest neighbours and their distance in Å.
Sites, in units of the cell vectors:
La 0.0000 0.5000 0.0000  4 Tl 3.38, 4 Sb 3.38, 4 La 3.63
La 0.5000 0.0000 0.0000  4 Tl 3.38, 4 Sb 3.38, 4 La 3.63
Tl 0.0000 0.0000 0.5000  8 La 3.38, 4 Sb 3.63
Sb 0.5000 0.5000 0.5000  8 La 3.38, 4 Tl 3.63

Calculated values
Formation energy from raw total energies in eV/atom: -0.7616
Energy above the lowest structure with this stoichiometry in meV/atom: 34
Fermi-level density of states in states/eV per cell: 3.8
E in eV per cell: -20.926
Symmetry: P4/mmm (123)

---

VASP calculation (PBEsol) on a relaxed structure of La2SbW.

Unit cell a=6.2908 b=8.6557 c=3.6517 alpha=90.00 beta=90.00 gamma=90.00
Last column: nearest neighbours and their distance in Å.
Sites, in units of the cell vectors:
La 0.2500 0.2500 0.0000  2 La 3.15, 4 W 3.24, 4 Sb 3.24
La 0.2500 0.7500 0.0000  2 La 3.15, 4 W 3.24, 4 Sb 3.24
La 0.7500 0.2500 0.0000  2 La 3.15, 4 W 3.24, 4 Sb 3.24
La 0.7500 0.7500 0.0000  2 La 3.15, 4 Sb 3.24, 4 W 3.24
Sb 0.0000 0.0000 0.5000  2 W 3.15, 8 La 3.24
Sb 0.5000 0.5000 0.5000  2 W 3.15, 8 La 3.24
W 0.0000 0.5000 0.5000  2 Sb 3.15, 8 La 3.24
W 0.5000 0.0000 0.5000  2 Sb 3.15, 8 La 3.24

Calculated values
Formation energy from raw total energies in eV/atom: 0.0961
Fermi-level density of states in states/eV per cell: 11.0
E in eV per cell: -57.346
Symmetry: Cmmm (65)